1.
LiHfIn: optimized geometry, PBE-GGA.

Properties
Its total energy is -3.75 eV/atom. The energy relative to the lowest polymorph listed for this composition is 1341.4 meV/atom. As for the space group: No. 194. The value obtained for the density of states at the Fermi level is 8.4 states/eV per cell. Its formation energy from the elements is 1.12 eV/atom.

Lattice parameters (Å, degrees): 4.0439 4.0439 11.4079 90.00 90.00 120.00
Positions (direct):
Li (0.3333, 0.6667, 0.2500)
Li (0.6667, 0.3333, 0.7500)
Hf (0.0000, 0.0000, 0.0000)
Hf (0.0000, 0.0000, 0.5000)
In (0.0000, 0.0000, 0.2500)
In (0.0000, 0.0000, 0.7500)

2.
LiHfIn: optimized geometry, PBE-GGA.

Properties
Its total energy is -4.94 eV/atom. The energy relative to the lowest polymorph listed for this composition is 153.4 meV/atom. As for the space group: No. 6. The value obtained for the density of states at the Fermi level is 3.8 states/eV per cell. Its formation energy from the elements is -0.07 eV/atom.

Lattice parameters (Å, degrees): 5.0385 3.1481 8.1226 90.00 104.29 90.00
Positions (direct):
Li (0.0000, 0.0000, 0.0000)
Li (0.4873, 0.5000, 0.0174)
Hf (0.2810, 0.5000, 0.3787)
Hf (0.8959, 0.5000, 0.6417)
In (0.4305, 0.0000, 0.7266)
In (0.7510, 0.0000, 0.2958)

3.
LiHfIn: optimized geometry, PBE-GGA.

Properties
Its total energy is -4.79 eV/atom. The energy relative to the lowest polymorph listed for this composition is 301.8 meV/atom. As for the space group: No. 63. The value obtained for the density of states at the Fermi level is 1.3 states/eV per cell. Its formation energy from the elements is 0.08 eV/atom.

Lattice parameters (Å, degrees): 4.6964 4.6964 5.9390 90.00 90.00 119.60
Positions (direct):
Li (0.1695, 0.8305, 0.7500)
Li (0.8305, 0.1695, 0.2500)
Hf (0.1648, 0.8352, 0.2500)
Hf (0.8352, 0.1648, 0.7500)
In (0.5000, 0.5000, 0.0000)
In (0.5000, 0.5000, 0.5000)